8
Lattice="-4.0540 4.0540 4.0540 4.0540 -4.0540 4.0540 4.0540 4.0540 -4.0540" Properties=species:S:1:pos:R:3 comment="ReSb (PBE, relaxed)" volume_a3_per_fu=67 raw_formation_energy_ev_per_atom=0.86 dos_at_fermi_per_ev_fu=2.07 magmom_total_mub_per_cell=2.81 pbc="T T T"
Re 0.9320 0.9320 -0.9320
Re 0.9320 -0.9320 0.9320
Re -0.9320 0.9320 0.9320
Re 3.1220 3.1220 3.1220
Sb 2.4562 2.4562 -2.4562
Sb 2.4562 -2.4562 2.4562
Sb 1.5979 1.5979 1.5979
Sb -2.4562 2.4562 2.4562